Material: KSnICl2
Method: DFT, PBE
State: relaxed

a = 7.5830 Å, b = 5.3682 Å, c = 9.3772 Å
α = 90.00°, β = 106.71°, γ = 90.00°
With the nearest neighbours (Å) after each atom.
Space group P2_1/m (No. 11)
Symmetry-distinct sites (fractional):
K 0.2349 0.2500 0.4600 [2 per cell]  3 Cl 3.09-3.16
Sn 0.2005 0.2500 0.9185 [2 per cell]  4 Cl 2.63-2.89
I 0.4460 0.7500 0.7508 [2 per cell]  3 Sn 3.47-3.85, 3 K 3.54-3.83, 1 Cl 3.75
Cl 0.0432 0.7500 0.3457 [2 per cell]  1 Sn 2.63
Cl 0.0669 0.7500 0.9340 [2 per cell]  3 Sn 2.76-2.89

Summary:
DOS(E_F), states/eV/f.u.: 0.0
Spin magnetization, μB/atom: 0.0000
Distance to the lowest polymorph of the same formula, eV/atom: 0.000
Uncorrected formation energy, eV/f.u.: -6.0